Entry 1:
Density functional theory data (PBE-GGA) for a geometry-optimized LaSe2I structure.

Cell: 3.9828 3.9828 29.6994 Å, 90.00 90.00 120.00°
Space group R-3m (No. 166, hexagonal axes)
Unique sites:
1 La 0.0000 0.0000 0.0000 [3 per cell]
2 Se 0.0000 0.0000 0.0935 [6 per cell]
3 I 0.0000 0.0000 0.5000 [3 per cell]

Calculated values
**Energy relative to the lowest polymorph listed for this composition**: 1368 meV/atom
**Total moment**: 0.0 μB per cell
**Calculated volume**: 408.0 Å³/cell
**N(E_F)**: 5.10 states/eV/f.u.
**Raw formation energy**: 0.185 eV/atom
**Crystal system**: trigonal
**VASP energy**: -3.176 eV per atom
**ρ**: 5174 kg/m³

---

Entry 2:
Density functional theory data (PBE-GGA) for a geometry-optimized LaSe2I structure.

Cell: 7.593 7.593 7.593 Å, 90.00 90.00 90.00°
Space group Fm-3m (No. 225)
Unique sites:
1 La 0.000 0.000 0.000 [4 per cell]
2 Se 0.250 0.250 0.250 [8 per cell]
3 I 0.000 0.000 0.500 [4 per cell]

Calculated values
**Energy relative to the lowest polymorph listed for this composition**: 453 meV/atom
**Total moment**: 0.0 μB per cell
**Calculated volume**: 437.8 Å³/cell
**N(E_F)**: 7.50 states/eV/f.u.
**Raw formation energy**: -0.729 eV/atom
**Crystal system**: cubic
**VASP energy**: -4.091 eV per atom
**ρ**: 6429 kg/m³

---

Entry 3:
Density functional theory data (PBE-GGA) for a geometry-optimized LaSeI2 structure.

Cell: 4.575 4.575 25.959 Å, 90.00 90.00 90.00°
Space group I-42d (No. 122)
Unique sites:
1 La 0.000 0.000 0.000 [4 per cell]
2 Se 0.000 0.000 0.500 [4 per cell]
3 I 0.244 0.250 0.125 [8 per cell]

Calculated values
**Energy relative to the lowest polymorph listed for this composition**: 5 meV/atom
**Total moment**: 0.0 μB per cell
**Calculated volume**: 543.3 Å³/cell
**N(E_F)**: 2.31 states/eV/f.u.
**Raw formation energy**: -0.801 eV/atom
**Crystal system**: tetragonal
**VASP energy**: -3.679 eV per atom
**ρ**: 5766 kg/m³

---

Entry 4:
Density functional theory data (PBE-GGA) for a geometry-optimized La8SiSe3I4 structure.

Cell: 8.7368 8.7368 23.2748 Å, 90.00 90.00 120.00°
Space group R-3m (No. 166, hexagonal axes)
Unique sites:
1 La 0.0000 0.0000 0.2342 [6 per cell]
2 La 0.0051 0.5026 0.2341 [18 per cell]
3 Si 0.0000 0.0000 0.5000 [3 per cell]
4 Se 0.0000 0.5000 0.5000 [9 per cell]
5 I 0.0000 0.0000 0.0000 [3 per cell]
6 I 0.0000 0.5000 0.0000 [9 per cell]

Calculated values
**Total moment**: 0.0 μB per cell
**Calculated volume**: 1538.6 Å³/cell
**N(E_F)**: 9.83 states/eV/f.u.
**Raw formation energy**: -1.406 eV/atom
**Crystal system**: trigonal
**VASP energy**: -5.249 eV per atom
**ρ**: 6099 kg/m³